VASP calculation (PBE) on a relaxed structure of Ce2Co4B.

a = 7.3705 Å, b = 10.6983 Å, c = 3.2947 Å
α = 90.00°, β = 90.00°, γ = 90.00°
Closest atoms and distances in Å follow each position.
Space group Cmmm (No. 65)
Asymmetric unit:
Ce (0.2500, 0.2500, 0.0000) (multiplicity 4)  6 Co 2.59-2.75
Co (0.0000, 0.1770, 0.5000) (multiplicity 4)  1 B 1.89
Co (0.1611, 0.0000, 0.0000) (multiplicity 4)  2 B 2.03
B (0.0000, 0.0000, 0.5000) (multiplicity 2)  6 Co 1.89-2.03

***

VASP calculation (PBE) on a relaxed structure of CeCo6B3.

a = 5.0283 Å, b = 5.0283 Å, c = 14.6353 Å
α = 90.00°, β = 90.00°, γ = 120.00°
Closest atoms and distances in Å follow each position.
Space group R3 (No. 146, hexagonal axes)
Asymmetric unit:
Ce (0.0000, 0.0000, 0.0000) (multiplicity 3)  1 B 2.60, 6 Co 2.61-2.68
Co (0.0030, 0.4440, 0.1345) (multiplicity 9)  2 B 1.99-2.00
Co (0.1596, 0.8249, 0.2772) (multiplicity 9)  3 B 2.05-2.06
B (0.0000, 0.0000, 0.1777) (multiplicity 3)  3 Co 2.06
B (0.0000, 0.0000, 0.3760) (multiplicity 3)  6 Co 1.99-2.05
B (0.0000, 0.0000, 0.7102) (multiplicity 3)  6 Co 2.00-2.05

***

VASP calculation (PBE) on a relaxed structure of Ce2Co5B2.

**Polymorph energy (0 for the lowest one)**: 120 meV per atom

a = 3.8338 Å, b = 3.8338 Å, c = 8.0861 Å
α = 90.00°, β = 90.00°, γ = 90.00°
Closest atoms and distances in Å follow each position.
Space group P4/mmm (No. 123)
Asymmetric unit:
Ce (0.0000, 0.0000, 0.0000) (multiplicity 1)  12 Co 2.71-2.73
Ce (0.0000, 0.0000, 0.5000) (multiplicity 1)  8 Co 2.84
Co (0.0000, 0.5000, 0.2400) (multiplicity 4)  2 B 1.96
Co (0.5000, 0.5000, 0.0000) (multiplicity 1)  2 B 2.36
B (0.5000, 0.5000, 0.2914) (multiplicity 2)  4 Co 1.96

***

| no. | energy of formation (eV per atom) | ρ (kg/m³) |
| --- | --- | --- |
| 1 | 0.2829 | 6734 |
| 2 | -0.2094 | 8179 |
| 3 | -0.3190 | 8334 |